[1]
A plane-wave DFT calculation with PBE was carried out for a geometry-optimized AcPdPb structure.

The structure belongs to space group P-6m2 (No. 187); the cell edges are 4.9216, 4.9216 and 4.0157 Å and the angles 90.00°, 90.00° and 120.00°. The inequivalent atoms are Ac at (0.0000, 0.0000, 0.0000), Pd at (0.3333, 0.6667, 0.5000) and Pb at (0.6667, 0.3333, 0.5000).

The energy above the most stable polymorph in this dataset is 0.00 kJ per mole of atoms. Its electronic total energy is -15.0 eV per cell.

[2]
A plane-wave DFT calculation with PBE was carried out for a geometry-optimized AcPdPb2 structure.

The structure belongs to space group Cmcm (No. 63); the cell edges are 4.791, 18.690 and 10.210 Å and the angles 90.00°, 90.00° and 90.00°. The inequivalent atoms are Ac at (0.000, 0.000, 0.000), Ac at (0.000, 0.197, 0.250), Pd at (0.000, 0.358, 0.515), Pb at (0.000, 0.198, 0.590), Pb at (0.000, 0.404, 0.250) and Pb at (0.000, 0.435, 0.750).

Its electronic total energy is -150.8 eV per cell.